Computed, not measured: a relaxed structure of CaDy2Ho6 at the GGA-PBE level of DFT.

Cell lengths 8.5208, 8.5208, 10.7267 Å; angles 116.97, 116.97, 63.86 degrees
Fractional positions:
Ca  0.1522  0.8478  0.7500
Ca  0.8478  0.1522  0.2500
Dy  0.4046  0.4427  0.3196
Dy  0.4427  0.4046  0.8196
Dy  0.5573  0.5954  0.1804
Dy  0.5954  0.5573  0.6804
Ho  0.0282  0.2785  0.6771
Ho  0.0782  0.6529  0.9938
Ho  0.2039  0.3791  0.4784
Ho  0.2785  0.0282  0.1771
Ho  0.3471  0.9218  0.5062
Ho  0.3791  0.2039  0.9784
Ho  0.6209  0.7961  0.0216
Ho  0.6529  0.0782  0.4938
Ho  0.7215  0.9718  0.8229
Ho  0.7961  0.6209  0.5216
Ho  0.9218  0.3471  0.0062
Ho  0.9718  0.7215  0.3229

space group = C2/c
total energy = -4.13 eV per atom
density = 7.6 g/cm³